# 1
Entry from Alexandria: an optimized crystal structure of K3Zr3PaSe8 (PBE-GGA).

Cell and atoms, written as extended XYZ:
```
15
Lattice="6.768 -3.909 0.000 6.768 3.909 0.000 -4.508 0.000 7.967" Properties=species:S:1:pos:R:3 pbc="T T T"
K 0.000 0.000 0.000
K 3.384 1.955 0.000
K 3.384 -1.955 0.000
Zr 1.130 1.955 3.984
Zr 1.130 -1.955 3.984
Zr 4.514 0.000 3.984
Pa -2.254 0.000 3.984
Se 0.088 0.000 5.626
Se 3.346 1.883 5.627
Se 2.256 0.000 2.377
Se 5.682 1.883 2.341
Se 3.346 -1.883 5.627
Se 6.772 0.000 5.591
Se 5.682 -1.883 2.341
Se 8.940 0.000 2.341
```

Output
spin magnetization = 1.891 μB per formula unit
formation energy from raw total energies = -1.374 eV/atom
symmetry = No. 12

***

# 2
Entry from Alexandria: an optimized crystal structure of HoThSb (PBE-GGA).

Cell and atoms, written as extended XYZ:
```
6
Lattice="4.284 0.000 0.000 0.000 4.284 0.000 0.000 0.000 10.341" Properties=species:S:1:pos:R:3 pbc="T T T"
Ho 1.071 1.071 1.820
Ho 3.213 3.213 8.522
Th 1.071 1.071 5.929
Th 3.213 3.213 4.412
Sb 1.071 1.071 9.067
Sb 3.213 3.213 1.274
```

Output
spin magnetization = 0.000 μB per formula unit
formation energy from raw total energies = -0.441 eV/atom
symmetry = No. 129

***

# 3
Entry from Alexandria: an optimized crystal structure of VNiAs (PBE-GGA).

Cell and atoms, written as extended XYZ:
```
3
Lattice="3.986 0.000 0.000 -1.993 3.452 0.000 0.000 0.000 2.915" Properties=species:S:1:pos:R:3 pbc="T T T"
V 0.000 0.000 0.000
Ni 0.000 2.301 1.458
As 1.993 1.151 1.458
```

Output
formation enthalpy at 0 K = -0.2097 eV/atom
spin magnetization = 1.614 μB per formula unit
symmetry = No. 187

***

# 4
Entry from Alexandria: an optimized crystal structure of Zn2CoTc (PBE-GGA).

Cell and atoms, written as extended XYZ:
```
4
Lattice="0.000 2.988 2.988 2.988 0.000 2.988 2.988 2.988 0.000" Properties=species:S:1:pos:R:3 pbc="T T T"
Zn 1.494 1.494 1.494
Zn 4.482 4.482 4.482
Co 0.000 0.000 0.000
Tc 2.988 2.988 2.988
```

Output
formation enthalpy at 0 K = 0.2042 eV/atom
spin magnetization = 2.639 μB per formula unit
symmetry = No. 225
energy above the most stable polymorph in this dataset = 0.2231 eV per atom

***

# 5
Entry from Alexandria: an optimized crystal structure of K4Pa3FeS8 (PBE-GGA).

Cell and atoms, written as extended XYZ:
```
16
Lattice="3.957 2.285 7.462 -3.957 2.285 7.462 0.000 -4.569 7.462" Properties=species:S:1:pos:R:3 pbc="T T T"
K 0.000 0.000 0.000
K -1.979 -1.142 7.462
K -1.979 1.142 14.924
K 0.000 2.285 7.462
Pa -3.957 0.000 11.193
Pa -1.979 1.142 3.731
Pa 1.979 1.142 3.731
Fe 0.000 0.000 11.193
S 0.000 0.000 5.292
S -1.938 -1.119 12.685
S 0.000 -2.238 9.700
S -1.938 1.119 9.700
S 1.938 -1.119 12.685
S 0.000 2.238 12.685
S 1.938 1.119 9.700
S 0.000 0.000 17.093
```

Output
spin magnetization = 6.860 μB per formula unit
formation energy from raw total energies = -1.294 eV/atom
symmetry = No. 166

***

# 6
Entry from Alexandria: an optimized crystal structure of ZrTiGa (PBE-GGA).

Cell and atoms, written as extended XYZ:
```
6
Lattice="4.650 0.000 0.000 -2.325 4.027 0.000 0.000 0.000 5.820" Properties=species:S:1:pos:R:3 pbc="T T T"
Zr 0.000 0.000 0.000
Zr 0.000 0.000 2.910
Ti 0.000 2.685 1.455
Ti 2.325 1.342 4.365
Ga 0.000 2.685 4.365
Ga 2.325 1.342 1.455
```

Output
formation enthalpy at 0 K = -0.4227 eV/atom
spin magnetization = 0.000 μB per formula unit
symmetry = No. 194
energy above the most stable polymorph in this dataset = 0.0270 eV per atom

***

# 7
Entry from Alexandria: an optimized crystal structure of GaCuNiIr (PBE-GGA).

Cell and atoms, written as extended XYZ:
```
4
Lattice="0.000 2.955 2.955 2.955 0.000 2.955 2.955 2.955 0.000" Properties=species:S:1:pos:R:3 pbc="T T T"
Ga 0.000 0.000 0.000
Cu 2.955 2.955 2.955
Ni 1.478 1.478 1.478
Ir 4.433 4.433 4.433
```

Output
formation enthalpy at 0 K = -0.2185 eV/atom
spin magnetization = 0.000 μB per formula unit
symmetry = No. 216
energy above the most stable polymorph in this dataset = 0.0000 eV per atom

***

# 8
Entry from Alexandria: an optimized crystal structure of CaBeW (PBE-GGA).

Cell and atoms, written as extended XYZ:
```
3
Lattice="2.926 0.000 0.000 -1.463 2.534 0.000 0.000 0.000 7.124" Properties=species:S:1:pos:R:3 pbc="T T T"
Ca 0.000 0.000 0.000
Be 0.000 1.689 4.588
W 1.463 0.845 2.669
```

Output
formation enthalpy at 0 K = 0.8886 eV/atom
spin magnetization = 0.000 μB per formula unit
symmetry = No. 156
energy above the most stable polymorph in this dataset = 0.2642 eV per atom

***

# 9
Entry from Alexandria: an optimized crystal structure of CsIn2Ni (PBE-GGA).

Cell and atoms, written as extended XYZ:
```
4
Lattice="0.000 3.859 3.859 3.859 0.000 3.859 3.859 3.859 0.000" Properties=species:S:1:pos:R:3 pbc="T T T"
Cs 0.000 0.000 0.000
In 1.929 1.929 1.929
In 5.788 5.788 5.788
Ni 3.859 3.859 3.859
```

Output
formation enthalpy at 0 K = 0.6303 eV/atom
spin magnetization = 0.000 μB per formula unit
symmetry = No. 225
energy above the most stable polymorph in this dataset = 0.6324 eV per atom

***

# 10
Entry from Alexandria: an optimized crystal structure of Pu2CdHg4 (PBE-GGA).

Cell and atoms, written as extended XYZ:
```
7
Lattice="4.434 -2.557 0.000 4.434 2.557 0.000 -2.941 0.000 7.686" Properties=species:S:1:pos:R:3 pbc="T T T"
Pu 0.002 0.000 1.612
Pu 5.926 0.000 6.074
Cd 2.964 0.000 3.843
Hg 0.011 0.000 4.785
Hg 2.957 0.000 0.212
Hg 2.971 0.000 7.474
Hg 5.916 0.000 2.901
```

Output
formation enthalpy at 0 K = -0.1166 eV/atom
spin magnetization = 11.452 μB per formula unit
symmetry = No. 12

***

# 11
Entry from Alexandria: an optimized crystal structure of RbH3S2 (PBE-GGA).

Cell and atoms, written as extended XYZ:
```
12
Lattice="8.584 -1.626 0.000 8.584 1.626 0.000 -1.861 0.000 8.046" Properties=species:S:1:pos:R:3 pbc="T T T"
Rb 1.969 0.000 0.424
Rb 13.339 0.000 7.623
H -0.354 0.000 2.472
H 1.986 0.000 5.298
H 6.276 0.000 2.274
H 9.032 0.000 5.772
H 13.322 0.000 2.748
H 15.662 0.000 5.574
S 4.793 0.000 2.335
S 7.119 0.000 5.989
S 8.189 0.000 2.058
S 10.515 0.000 5.711
```

Output
spin magnetization = 0.000 μB per formula unit
symmetry = No. 12
energy above the most stable polymorph in this dataset = 0.2637 eV per atom

***

# 12
Entry from Alexandria: an optimized crystal structure of Rb2NaScF6 (PBE-GGA).

Cell and atoms, written as extended XYZ:
```
10
Lattice="0.000 4.365 4.365 4.365 0.000 4.365 4.365 4.365 0.000" Properties=species:S:1:pos:R:3 pbc="T T T"
Rb 2.182 2.182 2.182
Rb 6.547 6.547 6.547
Na 0.000 0.000 0.000
Sc 4.365 4.365 4.365
F 4.365 4.365 2.325
F 4.365 2.325 4.365
F 6.405 4.365 4.365
F 2.325 4.365 4.365
F 4.365 6.405 4.365
F 4.365 4.365 6.405
```

Output
spin magnetization = 0.000 μB per formula unit
formation energy from raw total energies = -3.327 eV/atom
symmetry = No. 225

***

# 13
Entry from Alexandria: an optimized crystal structure of PmMg16Al12 (PBE-GGA).

Cell and atoms, written as extended XYZ:
```
29
Lattice="-5.285 5.285 5.285 5.285 -5.285 5.285 5.285 5.285 -5.285" Properties=species:S:1:pos:R:3 pbc="T T T"
Pm 0.000 0.000 0.000
Mg 3.377 3.377 -3.377
Mg 5.696 1.498 -1.498
Mg 3.377 -3.377 3.377
Mg 5.696 -1.498 1.498
Mg 4.875 1.498 1.498
Mg 3.787 3.787 -0.411
Mg 3.787 -0.411 3.787
Mg 1.908 1.908 1.908
Mg 1.498 5.696 -1.498
Mg 1.498 -1.498 5.696
Mg 1.498 4.875 1.498
Mg 1.498 1.498 4.875
Mg -3.377 3.377 3.377
Mg -1.498 5.696 1.498
Mg -1.498 1.498 5.696
Mg -0.411 3.787 3.787
Al 2.943 0.969 -0.969
Al 2.943 -0.969 0.969
Al 7.627 0.969 0.969
Al 0.969 2.943 -0.969
Al 0.969 -0.969 2.943
Al -0.969 2.943 0.969
Al -0.969 0.969 2.943
Al 4.316 4.316 2.342
Al 4.316 2.342 4.316
Al 0.969 7.627 0.969
Al 0.969 0.969 7.627
Al 2.342 4.316 4.316
```

Output
formation enthalpy at 0 K = -0.0744 eV/atom
spin magnetization = 0.000 μB per formula unit
symmetry = No. 217
energy above the most stable polymorph in this dataset = 0.0000 eV per atom

***

# 14
Entry from Alexandria: an optimized crystal structure of AsI3Br (PBE-GGA).

Cell and atoms, written as extended XYZ:
```
5
Lattice="5.702 0.000 0.000 0.000 5.702 0.000 0.000 0.000 5.702" Properties=species:S:1:pos:R:3 pbc="T T T"
As 0.000 0.000 0.000
I 0.000 0.000 2.851
I 0.000 2.851 0.000
I 2.851 0.000 0.000
Br 2.851 2.851 2.851
```

Output
spin magnetization = 1.001 μB per formula unit
formation energy from raw total energies = 0.208 eV/atom
symmetry = No. 221
energy above the most stable polymorph in this dataset = 0.2805 eV per atom

***

# 15
Entry from Alexandria: an optimized crystal structure of ErHfCuIr (PBE-GGA).

Cell and atoms, written as extended XYZ:
```
4
Lattice="0.000 3.337 3.337 3.337 0.000 3.337 3.337 3.337 0.000" Properties=species:S:1:pos:R:3 pbc="T T T"
Er 0.000 0.000 0.000
Hf 3.337 3.337 3.337
Cu 5.005 5.005 5.005
Ir 1.668 1.668 1.668
```

Output
formation enthalpy at 0 K = -0.5669 eV/atom
spin magnetization = 0.000 μB per formula unit
symmetry = No. 216

***

# 16
Entry from Alexandria: an optimized crystal structure of RbSi2Ag2 (PBE-GGA).

Cell and atoms, written as extended XYZ:
```
5
Lattice="-2.317 2.317 5.969 2.317 -2.317 5.969 2.317 2.317 -5.969" Properties=species:S:1:pos:R:3 pbc="T T T"
Rb 0.000 0.000 0.000
Si 2.317 0.000 2.985
Si 0.000 2.317 2.985
Ag 0.000 0.000 4.084
Ag 0.000 0.000 7.855
```

Output
spin magnetization = 0.000 μB per formula unit
formation energy from raw total energies = 0.280 eV/atom
symmetry = No. 139
energy above the most stable polymorph in this dataset = 0.1193 eV per atom

***

# 17
Entry from Alexandria: an optimized crystal structure of Ta2CdN (PBE-GGA).

Cell and atoms, written as extended XYZ:
```
4
Lattice="0.000 3.150 3.150 3.150 0.000 3.150 3.150 3.150 0.000" Properties=species:S:1:pos:R:3 pbc="T T T"
Ta 1.575 1.575 1.575
Ta 4.725 4.725 4.725
Cd 0.000 0.000 0.000
N 3.150 3.150 3.150
```

Output
spin magnetization = 0.000 μB per formula unit
formation energy from raw total energies = 1.189 eV/atom
symmetry = No. 225
energy above the most stable polymorph in this dataset = 0.8931 eV per atom

***

# 18
Entry from Alexandria: an optimized crystal structure of Ba2MnOsPb (PBE-GGA).

Cell and atoms, written as extended XYZ:
```
5
Lattice="6.258 0.000 0.000 0.000 6.258 0.000 0.000 0.000 4.439" Properties=species:S:1:pos:R:3 pbc="T T T"
Ba 0.000 3.129 0.000
Ba 3.129 0.000 0.000
Mn 0.000 0.000 2.219
Os 0.000 0.000 0.000
Pb 3.129 3.129 2.219
```

Output
formation enthalpy at 0 K = 0.6383 eV/atom
spin magnetization = 0.722 μB per formula unit
symmetry = No. 123

***

# 19
Entry from Alexandria: an optimized crystal structure of Pm5RuRh4 (PBE-GGA).

Cell and atoms, written as extended XYZ:
```
10
Lattice="3.536 0.000 0.000 0.000 3.536 0.000 0.000 0.000 17.327" Properties=species:S:1:pos:R:3 pbc="T T T"
Pm 0.000 0.000 0.000
Pm 0.000 0.000 3.471
Pm 0.000 0.000 6.951
Pm 0.000 0.000 10.376
Pm 0.000 0.000 13.856
Ru 1.768 1.768 8.664
Rh 1.768 1.768 1.732
Rh 1.768 1.768 5.160
Rh 1.768 1.768 12.167
Rh 1.768 1.768 15.595
```

Output
formation enthalpy at 0 K = -0.5776 eV/atom
spin magnetization = 0.000 μB per formula unit
symmetry = No. 123

***

# 20
Entry from Alexandria: an optimized crystal structure of Re3SeO12 (PBE-GGA).

Cell and atoms, written as extended XYZ:
```
32
Lattice="4.543 2.623 9.962 -4.543 2.623 9.962 0.000 -5.246 9.962" Properties=species:S:1:pos:R:3 pbc="T T T"
Re -1.165 -2.888 9.962
Re -2.624 -0.170 14.943
Re -1.919 2.453 9.962
Re 1.459 -2.188 14.943
Re 3.084 0.435 9.962
Re 1.165 2.358 14.943
Se 0.000 0.000 11.587
Se 0.000 0.000 26.531
O -0.302 -3.154 8.477
O -4.102 0.631 14.565
O -3.024 -1.534 16.155
O -2.580 1.839 8.477
O -1.963 -0.784 13.458
O -0.184 -1.860 11.174
O -3.007 -1.633 20.610
O -1.519 1.089 11.174
O -0.089 -1.826 15.629
O 1.505 -3.868 14.565
O -1.537 0.990 15.629
O -0.441 -1.992 19.547
O 1.661 -1.308 13.458
O -1.505 1.378 19.547
O 1.702 0.771 11.174
O 0.302 2.092 13.458
O 2.883 1.315 8.477
O 2.841 -1.852 16.155
O 1.626 0.836 15.629
O 0.184 3.386 16.155
O 2.917 -1.787 20.610
O 1.946 0.614 19.547
O 0.089 3.420 20.610
O 2.597 3.237 14.565
```

Output
spin magnetization = 1.000 μB per formula unit
formation energy from raw total energies = -1.261 eV/atom
symmetry = No. 161

***

# 21
Entry from Alexandria: an optimized crystal structure of Sm3Y6Ho2Tm (PBE-GGA).

Cell and atoms, written as extended XYZ:
```
12
Lattice="3.095 -5.356 0.000 3.095 5.356 0.000 -2.054 0.000 11.638" Properties=species:S:1:pos:R:3 pbc="T T T"
Sm 0.000 0.000 0.000
Sm 3.095 1.785 0.000
Sm 3.095 -1.785 0.000
Y 1.035 1.784 2.943
Y 0.008 0.000 8.696
Y 1.035 -1.784 2.943
Y 3.101 1.784 8.695
Y 4.128 0.000 2.942
Y 3.101 -1.784 8.695
Ho 2.068 3.571 5.819
Ho 2.068 -3.571 5.819
Tm 2.068 0.000 5.819
```

Output
formation enthalpy at 0 K = 0.0206 eV/atom
spin magnetization = 0.000 μB per formula unit
symmetry = No. 12

***

# 22
Entry from Alexandria: an optimized crystal structure of KNaCaGe (PBE-GGA).

Cell and atoms, written as extended XYZ:
```
4
Lattice="0.000 3.823 3.823 3.823 0.000 3.823 3.823 3.823 0.000" Properties=species:S:1:pos:R:3 pbc="T T T"
K 0.000 0.000 0.000
Na 1.911 1.911 1.911
Ca 5.734 5.734 5.734
Ge 3.823 3.823 3.823
```

Output
formation enthalpy at 0 K = -0.1189 eV/atom
spin magnetization = 0.000 μB per formula unit
symmetry = No. 216

***

# 23
Entry from Alexandria: an optimized crystal structure of Pu2GaCo5B2 (PBE-GGA).

Cell and atoms, written as extended XYZ:
```
20
Lattice="9.086 0.000 0.000 0.000 9.086 0.000 0.000 0.000 3.012" Properties=species:S:1:pos:R:3 pbc="T T T"
Pu 1.627 2.916 0.000
Pu 2.916 7.459 0.000
Pu 6.169 1.627 0.000
Pu 7.459 6.169 0.000
Ga 0.000 0.000 0.000
Ga 4.543 4.543 0.000
Co 0.000 4.543 1.506
Co 0.620 6.998 1.506
Co 2.088 0.620 1.506
Co 2.455 5.163 1.506
Co 3.922 2.455 1.506
Co 4.543 0.000 1.506
Co 5.163 6.630 1.506
Co 6.630 3.922 1.506
Co 6.998 8.465 1.506
Co 8.465 2.088 1.506
B 1.061 5.604 0.000
B 3.482 1.061 0.000
B 5.604 8.024 0.000
B 8.024 3.482 0.000
```

Output
formation enthalpy at 0 K = -0.2452 eV/atom
spin magnetization = 8.805 μB per formula unit
symmetry = No. 127